A plane-wave DFT calculation with GGA-PBEsol was carried out for a geometry-optimized TlCrTe2Ru structure.

Output
* uncorrected formation energy: 0.736 eV/atom
* N(E_F): 1.17 states/eV/atom
* SG: P4/mmm, No. 123
* magnetic moment: 1.4 μB/cell

```
data_TlCrTe2Ru
_chemical_formula_sum 'Tl1 Cr1 Te2 Ru1'
_space_group_name_H-M_alt 'P 1'
_space_group_IT_number 1
_space_group_name_Hall 'P 1'
_cell_length_a 5.2027
_cell_length_b 5.2027
_cell_length_c 4.3811
_cell_angle_alpha 90.00
_cell_angle_beta 90.00
_cell_angle_gamma 90.00
loop_
_atom_site_label
_atom_site_type_symbol
_atom_site_fract_x
_atom_site_fract_y
_atom_site_fract_z
_atom_site_occupancy
Tl1 Tl 0.0000 0.0000 0.0000 1
Cr1 Cr 0.5000 0.5000 0.5000 1
Te1 Te 0.0000 0.5000 0.5000 1
Te2 Te 0.5000 0.0000 0.5000 1
Ru1 Ru 0.5000 0.5000 0.0000 1
```